Ba2MgH2: relaxed, GGA-PBEsol.

Unit cell a=4.3511 b=4.3511 c=8.1714 alpha=105.44 beta=105.44 gamma=90.00
Closest atoms and distances in Å follow each position.
Fractional positions:
H: 0.2500 0.7500 0.5000  4 Ba 2.60
H: 0.7500 0.2500 0.5000  4 Ba 2.60
Mg: 0.0000 0.0000 0.0000  8 Ba 3.88
Ba: 0.6562 0.6562 0.3124  4 H 2.60
Ba: 0.3438 0.3438 0.6876  4 H 2.60

Calculated values
E	-2.794	eV per atom
symmetry	No. 139

=====

Ba6Mg7H26: relaxed, GGA-PBEsol.

Unit cell a=5.7448 b=9.8589 c=9.8589 alpha=73.41 beta=73.06 gamma=73.06
Closest atoms and distances in Å follow each position.
Fractional positions:
H: 0.0865 0.9135 0.9135  3 Mg 1.95
H: 0.5199 0.3597 0.1333  1 Mg 1.94
H: 0.7520 0.3846 0.6154  2 Mg 1.99-2.08
H: 0.8702 0.8564 0.4032  1 Mg 1.92
H: 0.7279 0.1631 0.8369  2 Mg 1.91-1.92
H: 0.0129 0.6403 0.8667  1 Mg 1.94
H: 0.7520 0.6154 0.3846  2 Mg 1.99-2.08
H: 0.1298 0.5968 0.1436  1 Mg 1.92
H: 0.4075 0.0925 0.0925  2 Mg 1.95
H: 0.4801 0.8667 0.6403  1 Mg 1.94
H: 0.9871 0.1333 0.3597  1 Mg 1.94
H: 0.7279 0.8369 0.1631  2 Mg 1.91-1.92
H: 0.2721 0.1631 0.8369  2 Mg 1.91-1.92
H: 0.5925 0.9075 0.9075  2 Mg 1.95
H: 0.1298 0.1436 0.5968  1 Mg 1.92
H: 0.9871 0.3597 0.1333  1 Mg 1.94
H: 0.4801 0.6403 0.8667  1 Mg 1.94
H: 0.9135 0.0865 0.0865  3 Mg 1.95
H: 0.2480 0.6154 0.3846  2 Mg 1.99-2.08
H: 0.5199 0.1333 0.3597  1 Mg 1.94
H: 0.2480 0.3846 0.6154  2 Mg 1.99-2.08
H: 0.3692 0.6308 0.6308  1 Mg 1.93
H: 0.8702 0.4032 0.8564  1 Mg 1.92
H: 0.2721 0.8369 0.1631  2 Mg 1.91-1.92
H: 0.6308 0.3692 0.3692  1 Mg 1.93
H: 0.0129 0.8667 0.6403  1 Mg 1.94
Mg: 0.5000 0.5000 0.5000  6 H 1.93-1.99
Mg: 0.7813 0.2187 0.2187  5 H 1.94-1.95
Mg: 0.7440 0.0000 0.0000  6 H 1.92-1.95
Mg: 0.0000 0.2565 0.7435  6 H 1.91-2.08
Mg: 0.0000 0.7435 0.2565  6 H 1.91-2.08
Mg: 0.2560 0.0000 0.0000  6 H 1.92-1.95
Mg: 0.2187 0.7813 0.7813  5 H 1.94-1.95
Ba: 0.8568 0.6432 0.6432  12 H 2.60-2.89
Ba: 0.1432 0.3568 0.3568  12 H 2.60-2.89
Ba: 0.3522 0.3890 0.9065  6 H 2.59-2.70
Ba: 0.3522 0.9065 0.3890  6 H 2.59-2.70
Ba: 0.6478 0.0935 0.6110  6 H 2.59-2.70
Ba: 0.6478 0.6110 0.0935  6 H 2.59-2.70

Calculated values
E	-3.232	eV per atom
symmetry	No. 71

=====

Ba2MgH6: relaxed, GGA-PBEsol.

Unit cell a=4.4796 b=5.6408 c=5.6408 alpha=120.00 beta=90.00 gamma=90.00
Closest atoms and distances in Å follow each position.
Fractional positions:
H: 0.7729 0.8269 0.6538  1 Mg 1.97
H: 0.2271 0.1731 0.3462  1 Mg 1.97
H: 0.7729 0.3462 0.1731  1 Mg 1.97
H: 0.7729 0.8269 0.1731  1 Mg 1.97
H: 0.2271 0.6538 0.8269  1 Mg 1.97
H: 0.2271 0.1731 0.8269  1 Mg 1.97
Mg: 0.0000 0.0000 0.0000  6 H 1.97
Ba: 0.7332 0.3333 0.6667  12 H 2.71-2.83
Ba: 0.2668 0.6667 0.3333  12 H 2.71-2.83

Calculated values
E	-3.333	eV per atom
symmetry	No. 164

=====

Ba2Mg3H10: relaxed, GGA-PBEsol.

Unit cell a=5.7982 b=7.7523 c=9.3595 alpha=110.71 beta=108.04 gamma=90.00
Closest atoms and distances in Å follow each position.
Fractional positions:
H: 0.5000 0.0000 0.5000  2 Mg 2.03
H: 0.4769 0.8135 0.9538  2 Mg 1.95
H: 0.2230 0.5000 0.0000  2 Mg 1.99
H: 0.1554 0.9805 0.7789  2 Mg 1.91-1.92
H: 0.8662 0.2569 0.7324  2 Mg 1.95-2.16
H: 0.6234 0.9805 0.7789  2 Mg 1.91-1.92
H: 0.6103 0.5142 0.6975  1 Mg 1.90
H: 0.3897 0.4858 0.3025  1 Mg 1.90
H: 0.5231 0.1865 0.0462  2 Mg 1.95
H: 0.0214 0.1757 0.0428  3 Mg 1.93-1.95
H: 0.7770 0.5000 0.0000  2 Mg 1.99
H: 0.2331 0.2797 0.4662  1 Mg 1.94
H: 0.0000 0.0000 0.5000  2 Mg 2.03
H: 0.9129 0.4858 0.3025  1 Mg 1.90
H: 0.3766 0.0195 0.2211  2 Mg 1.91-1.92
H: 0.1338 0.7431 0.2676  2 Mg 1.95-2.16
H: 0.9786 0.8243 0.9572  3 Mg 1.93-1.95
H: 0.0871 0.5142 0.6975  1 Mg 1.90
H: 0.7669 0.7203 0.5338  1 Mg 1.94
H: 0.8446 0.0195 0.2211  2 Mg 1.91-1.92
Mg: 0.7442 0.0000 0.0000  6 H 1.92-1.95
Mg: 0.0731 0.4437 0.1463  5 H 1.90-1.99
Mg: 0.1728 0.0140 0.3455  6 H 1.91-2.03
Mg: 0.9269 0.5563 0.8537  5 H 1.90-1.99
Mg: 0.8272 0.9860 0.6545  6 H 1.91-2.03
Mg: 0.2558 0.0000 0.0000  6 H 1.92-1.95
Ba: 0.7161 0.3068 0.4322  7 H 2.60-2.84
Ba: 0.2839 0.6932 0.5678  7 H 2.60-2.84
Ba: 0.3850 0.2762 0.7700  12 H 2.65-2.94
Ba: 0.6150 0.7238 0.2300  12 H 2.65-2.94

Calculated values
E	-3.200	eV per atom
symmetry	No. 12

=====

BaMgH4: relaxed, GGA-PBEsol.

Unit cell a=4.1305 b=5.6356 c=7.0411 alpha=90.00 beta=107.06 gamma=90.00
Closest atoms and distances in Å follow each position.
Fractional positions:
H: 0.0000 0.0000 0.0000  2 Mg 1.94
H: 0.1924 0.9973 0.3847  1 Mg 1.88
H: 0.1924 0.5027 0.3847  1 Mg 1.88
H: 0.8076 0.0027 0.6153  1 Mg 1.88
H: 0.5842 0.7500 0.1684  2 Mg 2.08
H: 0.4158 0.2500 0.8316  2 Mg 2.08
H: 0.0000 0.5000 0.0000  2 Mg 1.94
H: 0.8076 0.4973 0.6153  1 Mg 1.88
Ba: 0.6342 0.2500 0.2685  9 H 2.63-2.94
Ba: 0.3658 0.7500 0.7315  9 H 2.63-2.94
Mg: 0.9008 0.2500 0.8016  6 H 1.88-2.08
Mg: 0.0992 0.7500 0.1984  6 H 1.88-2.08

Calculated values
E	-3.244	eV per atom
symmetry	No. 63

=====

Ba2MgPH: relaxed, GGA-PBEsol.

Unit cell a=4.6430 b=6.2199 c=6.2199 alpha=90.00 beta=90.00 gamma=90.00
Closest atoms and distances in Å follow each position.
Fractional positions:
Mg: 0.0000 0.0000 0.0000  2 P 2.32
Ba: 0.0000 0.5000 0.0000  2 Mg 3.11
Ba: 0.0000 0.0000 0.5000  2 Mg 3.11
P: 0.5000 0.0000 0.0000  2 Mg 2.32
H: 0.5000 0.5000 0.5000  8 Ba 3.88

Calculated values
E	-2.802	eV per atom
symmetry	No. 123